No. 1
A geometry-optimized CeYTcO6 structure. Source: Alexandria, functional PBE.

Structure (CIF):
```
data_CeYTcO6
_chemical_formula_sum 'Ce2 Y2 Tc2 O12'
_symmetry_space_group_name_H-M 'P 1'
_symmetry_Int_Tables_number 1
_symmetry_space_group_name_Hall 'P 1'
_cell_length_a 5.500
_cell_length_b 5.500
_cell_length_c 9.656
_cell_angle_alpha 90.00
_cell_angle_beta 90.00
_cell_angle_gamma 120.00
loop_
_atom_site_label
_atom_site_type_symbol
_atom_site_fract_x
_atom_site_fract_y
_atom_site_fract_z
_atom_site_occupancy
Ce1 Ce 0.000 0.000 0.000 1
Ce2 Ce 0.000 0.000 0.500 1
Y1 Y 0.333 0.667 0.250 1
Y2 Y 0.667 0.333 0.750 1
Tc1 Tc 0.333 0.667 0.750 1
Tc2 Tc 0.667 0.333 0.250 1
O1 O 0.041 0.365 0.635 1
O2 O 0.041 0.676 0.865 1
O3 O 0.324 0.365 0.865 1
O4 O 0.324 0.959 0.635 1
O5 O 0.365 0.041 0.135 1
O6 O 0.365 0.324 0.365 1
O7 O 0.635 0.676 0.635 1
O8 O 0.635 0.959 0.865 1
O9 O 0.676 0.041 0.365 1
O10 O 0.676 0.635 0.135 1
O11 O 0.959 0.324 0.135 1
O12 O 0.959 0.635 0.365 1
```

- Energy relative to the elements, uncorrected: -246.9 kJ/mol of atoms


No. 2
A geometry-optimized Ce3TeO structure. Source: Alexandria, functional PBE.

Structure (CIF):
```
data_Ce3TeO
_chemical_formula_sum 'Ce3 Te1 O1'
_symmetry_space_group_name_H-M 'P 1'
_symmetry_Int_Tables_number 1
_symmetry_space_group_name_Hall 'P 1'
_cell_length_a 4.824
_cell_length_b 4.824
_cell_length_c 4.824
_cell_angle_alpha 90.00
_cell_angle_beta 90.00
_cell_angle_gamma 90.00
loop_
_atom_site_label
_atom_site_type_symbol
_atom_site_fract_x
_atom_site_fract_y
_atom_site_fract_z
_atom_site_occupancy
Ce1 Ce 0.000 0.000 0.500 1
Ce2 Ce 0.000 0.500 0.000 1
Ce3 Ce 0.500 0.000 0.000 1
Te1 Te 0.500 0.500 0.500 1
O1 O 0.000 0.000 0.000 1
```

- Energy relative to the elements, uncorrected: -150.3 kJ/mol of atoms


- Among the records above, which one has the highest energy relative to the elements, uncorrected?
  Ce3TeO